{
  "formula": "Ho3NiHg2",
  "functional": "PBE",
  "state": "relaxed",
  "cell": [[5.835, 0.000, 0.000], [0.000, 7.539, 0.002], [-2.918, -1.885, 7.062]],
  "species": ["Hg", "Hg", "Hg", "Hg", "Ni", "Ni", "Ho", "Ho", "Ho", "Ho", "Ho", "Ho"],
  "frac_coords": [[0.310, 0.904, 0.620], [0.690, 0.096, 0.380], [0.690, 0.596, 0.380], [0.310, 0.404, 0.620], [0.999, 0.250, 0.000], [0.001, 0.750, 0.000], [0.870, 0.936, 0.741], [0.871, 0.436, 0.741], [0.130, 0.064, 0.259], [0.501, 0.750, 0.000], [0.129, 0.564, 0.259], [0.499, 0.250, 0.000]],
  "crystal_system": "monoclinic",
  "dft_energy_ev_per_atom": -3.679
}